(1)
Compound: CoNi2Sn2
Source: Alexandria
Functional: PBE-GGA
Structure: optimized geometry

Structure (POSCAR):
```
CoNi2Sn2
1.0
6.8105 0.0000 0.0000
0.0000 6.8105 0.0000
0.0000 0.0000 3.3125
Co Ni Sn
2 4 4
Cartesian
0.0000 0.0000 0.0000
3.4053 3.4053 0.0000
0.8730 2.5323 0.0000
2.5323 5.9375 0.0000
4.2783 0.8730 0.0000
5.9375 4.2783 0.0000
1.1827 4.5879 1.6562
2.2226 1.1827 1.6562
4.5879 5.6279 1.6562
5.6279 2.2226 1.6562
```

Calculated values
Total DFT energy (no corrections)   -5.245 eV per atom
Calculated volume   15.36 Å³/atom

(2)
Compound: CoSeCl
Source: Alexandria
Functional: PBE-GGA
Structure: optimized geometry

Structure (POSCAR):
```
CoSeCl
1.0
3.4079 0.0000 0.0000
0.0000 4.7484 0.0000
0.0000 0.0000 8.2424
Co Se Cl
2 2 2
Cartesian
0.8520 1.1871 1.0962
2.5559 3.5613 7.1462
0.8520 3.5613 0.4932
2.5559 1.1871 7.7492
0.8520 3.5613 5.6186
2.5559 1.1871 2.6238
```

Calculated values
Calculated volume   22.23 Å³/atom
Formation energy without anion corrections   -42.8 kJ per mole of atoms

(3)
Compound: NbFeReW
Source: Alexandria
Functional: PBE-GGA
Structure: optimized geometry

Structure (POSCAR):
```
NbFeReW
1.0
0.0000 3.1286 3.1286
3.1286 0.0000 3.1286
3.1286 3.1286 0.0000
Nb Fe Re W
1 1 1 1
Cartesian
0.0000 0.0000 0.0000
4.6928 4.6928 4.6928
1.5643 1.5643 1.5643
3.1286 3.1286 3.1286
```

Calculated values
Total DFT energy (no corrections)   -11.007 eV per atom
Calculated volume   15.31 Å³/atom

(4)
Compound: Mo2RhAu
Source: Alexandria
Functional: PBE-GGA
Structure: optimized geometry

Structure (POSCAR):
```
Mo2RhAu
1.0
0.0000 3.1868 3.1868
3.1868 0.0000 3.1868
3.1868 3.1868 0.0000
Mo Rh Au
2 1 1
Cartesian
1.5934 1.5934 1.5934
4.7802 4.7802 4.7802
0.0000 0.0000 0.0000
3.1868 3.1868 3.1868
```

Calculated values
Calculated volume   16.18 Å³/atom
Energy above the lowest structure with this stoichiometry   475 meV/atom

Magnetization across the listed records, respectively: 0.225; 0.000; 0.419; 0.000 μB per atom.